1.
# Ag4GeSe4, optimized geometry, DFT GGA-PBE
data_Ag4GeSe4
_space_group_name_H-M_alt 'C m c m'
_space_group_IT_number 63
_space_group_name_Hall '-C 2c 2'
_cell_length_a 11.004
_cell_length_b 9.395
_cell_length_c 8.752
_cell_angle_alpha 90.00
_cell_angle_beta 90.00
_cell_angle_gamma 90.00
loop_
_atom_site_label
_atom_site_type_symbol
_atom_site_fract_x
_atom_site_fract_y
_atom_site_fract_z
_atom_site_occupancy
Ag1 Ag 0.139 0.236 0.250 1
Ag2 Ag 0.182 0.000 0.000 1
Ge1 Ge 0.000 0.340 0.750 1
Se1 Se 0.000 0.192 0.523 1
Se2 Se 0.185 0.481 0.750 1
# size of the total moment	0.0	μB per formula unit
# density of states at the Fermi level	3.6	states/eV/cell
# formation energy from raw total energies	-0.119	eV per atom
# final energy	-3.45	eV per atom

2.
# Ag2GeSe2, optimized geometry, DFT GGA-PBE
data_Ag2GeSe2
_space_group_name_H-M_alt 'C 1 2/m 1'
_space_group_IT_number 12
_cell_length_a 13.422
_cell_length_b 5.194
_cell_length_c 7.390
_cell_angle_alpha 90.00
_cell_angle_beta 107.43
_cell_angle_gamma 90.00
loop_
_space_group_symop_operation_xyz
'x,y,z'
'-x,-y,-z'
'-x,y,-z'
'x,-y,z'
'x+1/2,y+1/2,z'
'-x+1/2,-y+1/2,-z'
'-x+1/2,y+1/2,-z'
'x+1/2,-y+1/2,z'
loop_
_atom_site_label
_atom_site_type_symbol
_atom_site_fract_x
_atom_site_fract_y
_atom_site_fract_z
_atom_site_occupancy
Ag1 Ag 0.062 0.000 0.205 1
Ag2 Ag 0.173 0.500 0.772 1
Ge1 Ge 0.175 0.000 0.574 1
Se1 Se 0.130 0.500 0.384 1
Se2 Se 0.146 0.000 0.909 1
# size of the total moment	0.0	μB per formula unit
# density of states at the Fermi level	1.7	states/eV/cell
# E above lowest polymorph	0.000	eV per atom
# formation energy from raw total energies	-0.026	eV per atom
# final energy	-3.48	eV per atom

3.
# Ag4GeSe5, optimized geometry, DFT GGA-PBE
data_Ag4GeSe5
_space_group_name_H-M_alt 'I 4'
_space_group_IT_number 79
_cell_length_a 8.830
_cell_length_b 8.830
_cell_length_c 5.518
_cell_angle_alpha 90.00
_cell_angle_beta 90.00
_cell_angle_gamma 90.00
loop_
_space_group_symop_operation_xyz
'x,y,z'
'-y,x,z'
'-x,-y,z'
'y,-x,z'
'x+1/2,y+1/2,z+1/2'
'-y+1/2,x+1/2,z+1/2'
'-x+1/2,-y+1/2,z+1/2'
'y+1/2,-x+1/2,z+1/2'
loop_
_atom_site_label
_atom_site_type_symbol
_atom_site_fract_x
_atom_site_fract_y
_atom_site_fract_z
_atom_site_occupancy
Ag1 Ag 0.108 0.709 0.000 1
Ge1 Ge 0.000 0.000 0.539 1
Se1 Se 0.000 0.000 0.990 1
Se2 Se 0.072 0.716 0.498 1
# size of the total moment	0.0	μB per formula unit
# density of states at the Fermi level	8.8	states/eV/cell
# formation energy from raw total energies	-0.074	eV per atom
# final energy	-3.42	eV per atom

4.
# Ag2Ge2Se5, optimized geometry, DFT GGA-PBE
data_Ag2Ge2Se5
_space_group_name_H-M_alt 'C 1 2/m 1'
_space_group_IT_number 12
_cell_length_a 14.784
_cell_length_b 4.702
_cell_length_c 6.852
_cell_angle_alpha 90.00
_cell_angle_beta 101.87
_cell_angle_gamma 90.00
loop_
_space_group_symop_operation_xyz
'x,y,z'
'-x,-y,-z'
'-x,y,-z'
'x,-y,z'
'x+1/2,y+1/2,z'
'-x+1/2,-y+1/2,-z'
'-x+1/2,y+1/2,-z'
'x+1/2,-y+1/2,z'
loop_
_atom_site_label
_atom_site_type_symbol
_atom_site_fract_x
_atom_site_fract_y
_atom_site_fract_z
_atom_site_occupancy
Ag1 Ag 0.189 0.000 0.455 1
Ge1 Ge 0.159 0.500 0.885 1
Se1 Se 0.000 0.500 0.000 1
Se2 Se 0.117 0.500 0.525 1
Se3 Se 0.152 0.000 0.030 1
# size of the total moment	0.0	μB per formula unit
# density of states at the Fermi level	10.1	states/eV/cell
# formation energy from raw total energies	-0.021	eV per atom
# final energy	-3.62	eV per atom